Record 1
PrEuGaSn PBE relaxed; symmetry = No. 216; ΔH_f (0 K) = -12.73 kcal/mol of atoms
1.0
0.0000 3.8331 3.8331
3.8331 0.0000 3.8331
3.8331 3.8331 0.0000
Pr Eu Ga Sn
1 1 1 1
Direct
0.0000 0.0000 0.0000
0.5000 0.5000 0.5000
0.2500 0.2500 0.2500
0.7500 0.7500 0.7500


Record 2
PrEuTlGa PBE relaxed; symmetry = No. 216; ΔH_f (0 K) = -9.40 kcal/mol of atoms
1.0
0.0000 3.8576 3.8576
3.8576 0.0000 3.8576
3.8576 3.8576 0.0000
Pr Eu Tl Ga
1 1 1 1
Direct
0.0000 0.0000 0.0000
0.5000 0.5000 0.5000
0.7500 0.7500 0.7500
0.2500 0.2500 0.2500


Record 3
PrEuTmGa PBE relaxed; symmetry = No. 216; ΔH_f (0 K) = -1.38 kcal/mol of atoms
1.0
0.0000 3.8400 3.8400
3.8400 0.0000 3.8400
3.8400 3.8400 0.0000
Pr Eu Tm Ga
1 1 1 1
Direct
0.0000 0.0000 0.0000
0.7500 0.7500 0.7500
0.5000 0.5000 0.5000
0.2500 0.2500 0.2500


Record 4
PrEuYGa PBE relaxed; symmetry = No. 216; ΔH_f (0 K) = -2.00 kcal/mol of atoms
1.0
0.0000 3.8632 3.8632
3.8632 0.0000 3.8632
3.8632 3.8632 0.0000
Pr Eu Y Ga
1 1 1 1
Direct
0.0000 0.0000 0.0000
0.2500 0.2500 0.2500
0.5000 0.5000 0.5000
0.7500 0.7500 0.7500


Record 5
PrEuZnGa PBE relaxed; symmetry = No. 216; ΔH_f (0 K) = -9.12 kcal/mol of atoms
1.0
0.0000 3.7365 3.7365
3.7365 0.0000 3.7365
3.7365 3.7365 0.0000
Pr Eu Zn Ga
1 1 1 1
Direct
0.0000 0.0000 0.0000
0.5000 0.5000 0.5000
0.7500 0.7500 0.7500
0.2500 0.2500 0.2500


Record 6
EuGaPt PBE relaxed; symmetry = No. 62; ΔH_f (0 K) = -21.50 kcal/mol of atoms
1.0
7.2459 0.0000 0.0000
0.0000 4.4803 0.0000
0.0000 0.0000 7.8373
Eu Ga Pt
4 4 4
Direct
0.0174 0.2500 0.1891
0.4826 0.7500 0.6891
0.5174 0.2500 0.3109
0.9826 0.7500 0.8109
0.1618 0.2500 0.5739
0.3382 0.7500 0.0739
0.6618 0.2500 0.9261
0.8382 0.7500 0.4261
0.2091 0.7500 0.3950
0.2909 0.2500 0.8950
0.7091 0.7500 0.1050
0.7909 0.2500 0.6050


Record 7
EuGaPt PBE relaxed; symmetry = No. 187; ΔH_f (0 K) = -20.49 kcal/mol of atoms
1.0
4.3806 0.0000 0.0000
-2.1903 3.7937 0.0000
0.0000 0.0000 4.1172
Eu Ga Pt
1 1 1
Direct
0.0000 0.0000 0.0000
0.3333 0.6667 0.5000
0.6667 0.3333 0.5000


Record 8
EuPuGaPt PBE relaxed; symmetry = No. 216; ΔH_f (0 K) = -12.01 kcal/mol of atoms
1.0
0.0000 3.6006 3.6006
3.6006 0.0000 3.6006
3.6006 3.6006 0.0000
Eu Pu Ga Pt
1 1 1 1
Direct
0.0000 0.0000 0.0000
0.5000 0.5000 0.5000
0.7500 0.7500 0.7500
0.2500 0.2500 0.2500


Number 1: V 112.6 Å³/cell, electronic total energy -6.073 eV per atom. Number 2: V 114.8 Å³/cell, electronic total energy -5.520 eV per atom. Number 3: V 113.2 Å³/cell, electronic total energy -5.698 eV per atom. Number 4: V 115.3 Å³/cell, electronic total energy -6.223 eV per atom. Number 5: V 104.3 Å³/cell, electronic total energy -5.234 eV per atom. Number 6: V 254.4 Å³/cell, electronic total energy -7.380 eV per atom. Number 7: V 68.4 Å³/cell, electronic total energy -7.336 eV per atom. Number 8: V 93.4 Å³/cell, electronic total energy -8.939 eV per atom.